one | ## Li2TeRu2 (GGA-PBE)

Data for a relaxed structure of Li2TeRu2.

POSCAR file:
```
Li2TeRu2
1.0
-5.990 2.174 0.997
-2.373 -5.733 -1.759
0.194 -1.325 4.055
Te Li Ru
2 4 4
direct
0.000 0.000 0.000
0.500 0.500 0.000
0.341 0.159 0.500
0.659 0.841 0.500
0.841 0.341 0.500
0.159 0.659 0.500
0.133 0.367 0.000
0.367 0.867 0.000
0.867 0.633 0.000
0.633 0.133 0.000
```

Output
Total magnetic moment = 0.0000 μB per atom



two | ## Li2TeRu2 (GGA-PBE)

Data for a relaxed structure of Li2TeRu2.

POSCAR file:
```
Li2TeRu2
1.0
-0.096 -3.057 -1.107
2.629 -0.724 1.773
-3.016 -3.776 5.912
Ru Li Te
2 2 1
direct
0.601 0.601 0.799
0.399 0.399 0.201
0.250 0.750 0.500
0.750 0.250 0.500
0.000 0.000 0.000
```

Output
Total magnetic moment = 0.0000 μB per atom



Q: Which of them is the least stable? A: two.



one | ## LiTeRu (GGA-PBE)

Data for a relaxed structure of LiTeRu.

POSCAR file:
```
LiTeRu
1.0
-1.911 3.070 -2.513
-2.115 -1.595 3.518
1.324 2.346 1.859
Ru Te Li
1 1 1
direct
0.667 0.333 0.500
0.333 0.667 0.500
0.000 0.000 0.000
```

Output
Total magnetic moment = 0.0000 μB per atom



two | ## LiTeRu (GGA-PBE)

Data for a relaxed structure of LiTeRu.

POSCAR file:
```
LiTeRu
1.0
-1.654 -4.248 1.461
-1.669 -3.098 -3.245
3.879 2.728 0.654
Li Te Ru
1 1 1
direct
0.999 0.999 0.000
0.674 0.674 0.000
0.328 0.328 0.000
```

Output
Total magnetic moment = 0.1420 μB per atom



Q: Which of them is the least stable? A: one.



one | ## LiTeRu (GGA-PBE)

Data for a relaxed structure of LiTeRu.

POSCAR file:
```
LiTeRu
1.0
3.159 0.000 0.000
-1.579 2.734 0.000
0.000 0.000 13.192
Te Li Ru
2 2 2
direct
0.827 0.654 0.846
0.827 0.654 0.154
0.173 0.345 0.650
0.173 0.345 0.350
0.506 0.013 0.500
0.160 0.321 0.000
```

Output
Total magnetic moment = 0.1353 μB per atom



two | ## LiTeRu (GGA-PBE)

Data for a relaxed structure of LiTeRu.

POSCAR file:
```
LiTeRu
1.0
-1.798 -2.164 1.619
2.580 -0.985 -1.706
3.738 0.785 5.201
Li Te Ru
1 1 1
direct
0.000 0.000 0.025
0.333 0.667 0.627
0.667 0.333 0.348
```

Output
Total magnetic moment = 0.0000 μB per atom



Q: Which of them is the least stable? A: one.